No. 1
Crystalline Rb3TiTe3 at its relaxed geometry. Source: the Alexandria database, functional PBE.

a b c (Å): 9.0461 9.4381 14.5325
angles (deg): 90.00 90.00 100.97
Closest atoms and distances in Å follow each position.
Fractional positions:
Ti 0.9169 0.8602 0.9509  4 Te 2.67-2.69
Rb 0.2855 0.4037 0.8033  5 Te 3.59-3.96, 1 Ti 3.93
Ti 0.4169 0.3602 0.5491  4 Te 2.67-2.69
Rb 0.2520 0.9008 0.5632  5 Te 3.61-3.91
Te 0.4540 0.8085 0.3393  1 Ti 2.69
Ti 0.5831 0.6398 0.4509  4 Te 2.67-2.69
Ti 0.0831 0.1398 0.0491  4 Te 2.67-2.69
Rb 0.8729 0.4746 0.6394  4 Te 3.60-3.72
Rb 0.7145 0.5963 0.1967  5 Te 3.59-3.96, 1 Ti 3.93
Te 0.9540 0.3085 0.1607  1 Ti 2.69
Te 0.3772 0.2500 0.0400  1 Ti 2.67
Te 0.9667 0.1277 0.8792  2 Ti 2.68-2.69
Te 0.1228 0.2500 0.5400  1 Ti 2.67
Te 0.6228 0.7500 0.9600  1 Ti 2.67
Rb 0.1271 0.5254 0.3606  4 Te 3.60-3.72
Te 0.8772 0.7500 0.4600  1 Ti 2.67
Rb 0.3729 0.9746 0.8606  4 Te 3.60-3.72
Rb 0.7520 0.4008 0.9368  5 Te 3.61-3.91
Te 0.5460 0.1915 0.6607  1 Ti 2.69
Rb 0.2145 0.0963 0.3033  5 Te 3.59-3.96, 1 Ti 3.93
Te 0.0333 0.8723 0.1208  2 Ti 2.68-2.69
Te 0.0460 0.6915 0.8393  1 Ti 2.69
Rb 0.7480 0.0992 0.4368  5 Te 3.61-3.91
Te 0.5333 0.3723 0.3792  2 Ti 2.68-2.69
Te 0.4667 0.6277 0.6208  2 Ti 2.68-2.69
Rb 0.6271 0.0254 0.1394  4 Te 3.60-3.72
Rb 0.7855 0.9037 0.6967  5 Te 3.59-3.96, 1 Ti 3.93
Rb 0.2480 0.5992 0.0632  5 Te 3.61-3.91

**Offset from the most stable computed form**: 0 meV/atom
**E_form (uncorrected)**: -949 meV/atom
**Fermi-level density of states**: 0.097 states/eV/atom
**Uncorrected energy**: -3.838 eV/atom

No. 2
Crystalline PmTm4Au4 at its relaxed geometry. Source: the Alexandria database, functional PBE.

a b c (Å): 5.8376 9.2608 9.2608
angles (deg): 90.00 90.00 90.00
Closest atoms and distances in Å follow each position.
Fractional positions:
Tm 0.0868 0.1680 0.6000  5 Au 2.88-2.97
Au 0.0888 0.8695 0.7084  5 Tm 2.88-2.97, 1 Pm 3.00, 1 Au 3.01
Au 0.5888 0.2084 0.6305  5 Tm 2.88-2.97, 1 Pm 3.00, 1 Au 3.01
Au 0.4112 0.6305 0.7916  5 Tm 2.88-2.97, 1 Pm 3.00, 1 Au 3.01
Au 0.4112 0.3695 0.2084  5 Tm 2.88-2.97, 1 Pm 3.00, 1 Au 3.01
Pm 0.5000 0.5000 0.5000  4 Au 3.00
Tm 0.4132 0.6680 0.1000  5 Au 2.88-2.97
Tm 0.4132 0.3320 0.9000  5 Au 2.88-2.97
Au 0.9112 0.2916 0.8695  5 Tm 2.88-2.97, 1 Pm 3.00, 1 Au 3.01
Tm 0.5868 0.9000 0.6680  5 Au 2.88-2.97
Tm 0.0868 0.8320 0.4000  5 Au 2.88-2.97
Tm 0.9132 0.6000 0.8320  5 Au 2.88-2.97
Tm 0.5868 0.1000 0.3320  5 Au 2.88-2.97
Au 0.5888 0.7916 0.3695  5 Tm 2.88-2.97, 1 Pm 3.00, 1 Au 3.01
Pm 0.0000 0.0000 0.0000  4 Au 3.00
Au 0.9112 0.7084 0.1305  5 Tm 2.88-2.97, 1 Pm 3.00, 1 Au 3.01
Tm 0.9132 0.4000 0.1680  5 Au 2.88-2.97
Au 0.0888 0.1305 0.2916  5 Tm 2.88-2.97, 1 Pm 3.00, 1 Au 3.01

**ΔE_f**: -0.6267 eV/atom
**Fermi-level density of states**: 1.101 states/eV/atom
**Uncorrected energy**: -4.598 eV/atom

No. 3
Crystalline Be2CoRu at its relaxed geometry. Source: the Alexandria database, functional PBE.

a b c (Å): 3.5381 2.7437 4.3514
angles (deg): 71.59 90.00 90.00
Closest atoms and distances in Å follow each position.
Fractional positions:
Ru 0.5000 0.7760 0.8225  7 Be 2.24-2.33
Co 0.0000 0.4768 0.4220  7 Be 2.29-2.32
Be 0.5000 0.0474 0.2796  2 Be 2.17, 3 Ru 2.24-2.33, 4 Co 2.31-2.32
Be 0.0000 0.1998 0.9759  2 Be 2.17, 3 Co 2.29-2.30, 4 Ru 2.33

**ΔE_f**: -0.1850 eV/atom
**Fermi-level density of states**: 0.823 states/eV/atom
**Uncorrected energy**: -6.144 eV/atom